Below is a relaxed BaSbTe2I crystal, with properties calculated at the PBE level.

Calculated values
Symmetry ... P4/mmm
Total DFT energy (no corrections) ... -12.37 eV for the cell shown
ΔE_f (raw) ... 145 kJ/mol of formula units
Calculated density ... 3902 kg/m³

a = 6.560 Å, b = 6.560 Å, c = 6.340 Å
α = 90.00°, β = 90.00°, γ = 90.00°
Sites, in units of the cell vectors:
Te1 0.500 0.000 0.000
Sb1 0.500 0.500 0.500
Ba1 0.000 0.000 0.000
I1 0.000 0.000 0.500
Te2 0.000 0.500 0.000